Crystalline Pr4BiB3Rh12 at its relaxed geometry. Source: Alexandria, functional PBE.

Lattice parameters (Å, degrees): 7.699 7.699 7.699 109.47 109.47 109.47
Sites, in units of the cell vectors:
Rh 0.283 0.283 0.000
Rh 0.750 0.500 0.250
Rh 0.283 0.000 0.283
Rh 0.250 0.500 0.750
Rh 0.717 0.000 0.717
Rh 0.000 0.283 0.283
Rh 0.000 0.717 0.717
Rh 0.500 0.750 0.250
Rh 0.750 0.250 0.500
Rh 0.500 0.250 0.750
Rh 0.250 0.750 0.500
Rh 0.717 0.717 0.000
B 0.500 0.000 0.500
B 0.000 0.500 0.500
B 0.500 0.500 0.000
Pr 0.500 0.500 0.500
Pr 0.000 0.000 0.500
Pr 0.000 0.500 0.000
Pr 0.500 0.000 0.000
Bi 0.000 0.000 0.000

Properties
Energy of formation = -0.468 eV per atom
Symmetry = No. 229
E = -0.25835 Ha/atom